Version P
# SmDy4Tl2

An optimized crystal structure of SmDy4Tl2 (GGA-PBE, the Alexandria database).

Calculated values
- Symmetry: C2/m

Cell lengths 5.4203, 8.7655, 11.2832 Å; angles 113.01, 76.10, 71.99 degrees
With the nearest neighbours (Å) after each atom.
Element x y z (fractional)
Tl: 0.6576 0.1840 0.5007  8 Dy 3.14-3.39
Tl: 0.3185 0.2330 0.1300  5 Dy 3.22-3.46, 2 Sm 3.33, 1 Tl 3.47
Tl: 0.6815 0.7670 0.8700  5 Dy 3.22-3.46, 2 Sm 3.33, 1 Tl 3.47
Tl: 0.3424 0.8160 0.4993  8 Dy 3.14-3.39
Dy: 0.9899 0.7131 0.3071  4 Tl 3.27-3.46, 1 Sm 3.44, 3 Dy 3.46-3.47
Dy: 0.6863 0.9532 0.6743  4 Tl 3.18-3.32, 2 Dy 3.33-3.47
Dy: 0.3465 0.6195 0.6874  4 Tl 3.14-3.22
Dy: 0.6603 0.5978 0.0816  5 Dy 3.20-3.46, 1 Tl 3.26, 3 Sm 3.41-3.59
Dy: 0.6535 0.3805 0.3126  4 Tl 3.14-3.22
Dy: 0.3397 0.4022 0.9184  5 Dy 3.20-3.46, 1 Tl 3.26, 3 Sm 3.41-3.59
Dy: 0.3137 0.0468 0.3257  4 Tl 3.18-3.32, 2 Dy 3.33-3.47
Dy: 0.0101 0.2869 0.6929  4 Tl 3.27-3.46, 1 Sm 3.44, 3 Dy 3.46-3.47
Sm: 0.0265 0.8739 0.0732  1 Sm 3.22, 2 Tl 3.33, 4 Dy 3.41-3.59
Sm: 0.9735 0.1261 0.9268  1 Sm 3.22, 2 Tl 3.33, 4 Dy 3.41-3.59

=====

Version Q
# SmDy4Tl2

An optimized crystal structure of SmDy4Tl2 (GGA-PBE, the Alexandria database).

Calculated values
- Symmetry: R-3m

Cell lengths 5.1479, 5.1479, 10.6537 Å; angles 76.02, 76.02, 60.00 degrees
With the nearest neighbours (Å) after each atom.
Element x y z (fractional)
Dy: 0.7062 0.7062 0.8814  4 Tl 3.07-3.20
Dy: 0.2938 0.2938 0.1186  4 Tl 3.07-3.20
Dy: 0.1116 0.1116 0.6651  3 Tl 3.30, 3 Sm 3.42
Dy: 0.8884 0.8884 0.3349  3 Tl 3.30, 3 Sm 3.42
Sm: 0.5000 0.5000 0.5000  2 Tl 3.13, 6 Dy 3.42
Tl: 0.3981 0.3981 0.8058  7 Dy 3.07-3.30, 1 Sm 3.13
Tl: 0.6019 0.6019 0.1942  7 Dy 3.07-3.30, 1 Sm 3.13

=====

Name the most stable of them. version P.